# Ac3Pm3Tm, optimized geometry, DFT PBE-GGA
data_Ac3Pm3Tm
_chemical_formula_sum 'Ac12 Pm12 Tm4'
_cell_length_a 13.901
_cell_length_b 5.629
_cell_length_c 14.070
_cell_angle_alpha 90.00
_cell_angle_beta 90.00
_cell_angle_gamma 90.00
_symmetry_space_group_name_H-M 'P 1'
_symmetry_Int_Tables_number 1
loop_
_symmetry_equiv_pos_as_xyz
'x,y,z'
loop_
_atom_site_label
_atom_site_fract_x
_atom_site_fract_y
_atom_site_fract_z
Ac1 0.091 0.250 0.061
Ac2 0.095 0.250 0.557
Ac3 0.187 0.750 0.360
Ac4 0.313 0.250 0.860
Ac5 0.405 0.750 0.057
Ac6 0.409 0.750 0.561
Ac7 0.591 0.250 0.439
Ac8 0.595 0.250 0.943
Ac9 0.687 0.750 0.140
Ac10 0.813 0.250 0.640
Ac11 0.905 0.750 0.443
Ac12 0.909 0.750 0.939
Pm1 0.035 0.250 0.311
Pm2 0.163 0.750 0.934
Pm3 0.207 0.750 0.699
Pm4 0.293 0.250 0.199
Pm5 0.337 0.250 0.434
Pm6 0.465 0.750 0.811
Pm7 0.535 0.250 0.189
Pm8 0.663 0.750 0.566
Pm9 0.707 0.750 0.801
Pm10 0.793 0.250 0.301
Pm11 0.837 0.250 0.066
Pm12 0.965 0.750 0.689
Tm1 0.047 0.250 0.812
Tm2 0.453 0.750 0.312
Tm3 0.547 0.250 0.688
Tm4 0.953 0.750 0.188
# Energy of formation ... 0.192 eV/atom
# Uncorrected energy ... -4.244 eV/atom
# Volume ... 39.32 Å³ per atom
# M_tot ... 0.00 μB/f.u.
# DOS(E_F) ... 42.2 states/eV/cell
# Crystal system ... orthorhombic

---

# Ta2InSe2, optimized geometry, DFT PBE-GGA
data_Ta2InSe2
_chemical_formula_sum 'Ta4 In2 Se4'
_cell_length_a 7.723
_cell_length_b 7.723
_cell_length_c 3.216
_cell_angle_alpha 90.00
_cell_angle_beta 90.00
_cell_angle_gamma 90.00
_symmetry_space_group_name_H-M 'P 1'
_symmetry_Int_Tables_number 1
loop_
_symmetry_equiv_pos_as_xyz
'x,y,z'
loop_
_atom_site_label
_atom_site_fract_x
_atom_site_fract_y
_atom_site_fract_z
Ta1 0.144 0.356 0.000
Ta2 0.356 0.856 0.000
Ta3 0.644 0.144 0.000
Ta4 0.856 0.644 0.000
In1 0.000 0.000 0.000
In2 0.500 0.500 0.000
Se1 0.140 0.640 0.500
Se2 0.360 0.140 0.500
Se3 0.640 0.860 0.500
Se4 0.860 0.360 0.500
# Uncorrected energy ... -6.677 eV/atom
# Volume ... 19.18 Å³ per atom
# M_tot ... 0.00 μB/f.u.
# ΔE to the lowest computed polymorph ... 0 meV/atom
# DOS(E_F) ... 4.7 states/eV/cell
# Crystal system ... tetragonal

---

# Mg3Ag3Pd, optimized geometry, DFT PBE-GGA
data_Mg3Ag3Pd
_chemical_formula_sum 'Mg6 Ag6 Pd2'
_cell_length_a 7.634
_cell_length_b 7.634
_cell_length_c 7.634
_cell_angle_alpha 54.60
_cell_angle_beta 54.60
_cell_angle_gamma 54.60
_symmetry_space_group_name_H-M 'P 1'
_symmetry_Int_Tables_number 1
loop_
_symmetry_equiv_pos_as_xyz
'x,y,z'
loop_
_atom_site_label
_atom_site_fract_x
_atom_site_fract_y
_atom_site_fract_z
Mg1 0.184 0.747 0.394
Mg2 0.253 0.606 0.816
Mg3 0.394 0.184 0.747
Mg4 0.606 0.816 0.253
Mg5 0.747 0.394 0.184
Mg6 0.816 0.253 0.606
Ag1 0.060 0.561 0.263
Ag2 0.263 0.060 0.561
Ag3 0.439 0.737 0.940
Ag4 0.561 0.263 0.060
Ag5 0.737 0.940 0.439
Ag6 0.940 0.439 0.737
Pd1 0.178 0.178 0.178
Pd2 0.822 0.822 0.822
# Energy of formation ... -0.134 eV/atom
# Uncorrected energy ... -2.781 eV/atom
# Volume ... 19.64 Å³ per atom
# M_tot ... 0.00 μB/f.u.
# DOS(E_F) ... 3.3 states/eV/cell
# Crystal system ... trigonal

---

# SrH2ClO, optimized geometry, DFT PBE-GGA
data_SrH2ClO
_chemical_formula_sum 'Sr2 H4 Cl2 O2'
_cell_length_a 6.360
_cell_length_b 6.360
_cell_length_c 6.248
_cell_angle_alpha 90.00
_cell_angle_beta 90.00
_cell_angle_gamma 144.81
_symmetry_space_group_name_H-M 'P 1'
_symmetry_Int_Tables_number 1
loop_
_symmetry_equiv_pos_as_xyz
'x,y,z'
loop_
_atom_site_label
_atom_site_fract_x
_atom_site_fract_y
_atom_site_fract_z
Sr1 0.102 0.898 0.750
Sr2 0.898 0.102 0.250
H1 0.442 0.558 0.669
H2 0.442 0.558 0.831
H3 0.558 0.442 0.169
H4 0.558 0.442 0.331
Cl1 0.220 0.780 0.250
Cl2 0.780 0.220 0.750
O1 0.500 0.500 0.000
O2 0.500 0.500 0.500
# Uncorrected energy ... -4.258 eV/atom
# Volume ... 14.56 Å³ per atom
# M_tot ... 0.26 μB/f.u.
# DOS(E_F) ... 1.1 states/eV/cell
# Crystal system ... orthorhombic

---

# Ca2PmSm, optimized geometry, DFT PBE-GGA
data_Ca2PmSm
_chemical_formula_sum 'Ca2 Pm1 Sm1'
_cell_length_a 4.192
_cell_length_b 4.192
_cell_length_c 8.390
_cell_angle_alpha 90.00
_cell_angle_beta 90.00
_cell_angle_gamma 90.00
_symmetry_space_group_name_H-M 'P 1'
_symmetry_Int_Tables_number 1
loop_
_symmetry_equiv_pos_as_xyz
'x,y,z'
loop_
_atom_site_label
_atom_site_fract_x
_atom_site_fract_y
_atom_site_fract_z
Ca1 0.000 0.000 0.249
Ca2 0.000 0.000 0.751
Pm1 0.500 0.500 0.500
Sm1 0.500 0.500 0.000
# Energy of formation ... 0.137 eV/atom
# Uncorrected energy ... -3.231 eV/atom
# Volume ... 36.85 Å³ per atom
# M_tot ... 0.00 μB/f.u.
# ΔE to the lowest computed polymorph ... 96 meV/atom
# DOS(E_F) ... 6.0 states/eV/cell
# Crystal system ... tetragonal

---

# Co2SeBr, optimized geometry, DFT PBE-GGA
data_Co2SeBr
_chemical_formula_sum 'Co8 Se4 Br4'
_cell_length_a 6.454
_cell_length_b 6.454
_cell_length_c 6.454
_cell_angle_alpha 90.00
_cell_angle_beta 90.00
_cell_angle_gamma 90.00
_symmetry_space_group_name_H-M 'P 1'
_symmetry_Int_Tables_number 1
loop_
_symmetry_equiv_pos_as_xyz
'x,y,z'
loop_
_atom_site_label
_atom_site_fract_x
_atom_site_fract_y
_atom_site_fract_z
Co1 0.000 0.000 0.000
Co2 0.000 0.500 0.500
Co3 0.250 0.250 0.250
Co4 0.250 0.750 0.750
Co5 0.500 0.000 0.500
Co6 0.500 0.500 0.000
Co7 0.750 0.250 0.750
Co8 0.750 0.750 0.250
Se1 0.000 0.000 0.500
Se2 0.000 0.500 0.000
Se3 0.500 0.000 0.000
Se4 0.500 0.500 0.500
Br1 0.250 0.250 0.750
Br2 0.250 0.750 0.250
Br3 0.750 0.250 0.250
Br4 0.750 0.750 0.750
# Uncorrected energy ... -3.843 eV/atom
# Volume ... 16.80 Å³ per atom
# M_tot ... 3.95 μB/f.u.
# ΔE to the lowest computed polymorph ... 1061 meV/atom
# DOS(E_F) ... 27.4 states/eV/cell
# Crystal system ... cubic

---

# Mg2InCuAu5, optimized geometry, DFT PBE-GGA
data_Mg2InCuAu5
_chemical_formula_sum 'Mg4 In2 Cu2 Au10'
_cell_length_a 7.877
_cell_length_b 7.877
_cell_length_c 7.877
_cell_angle_alpha 117.82
_cell_angle_beta 117.82
_cell_angle_gamma 93.83
_symmetry_space_group_name_H-M 'P 1'
_symmetry_Int_Tables_number 1
loop_
_symmetry_equiv_pos_as_xyz
'x,y,z'
loop_
_atom_site_label
_atom_site_fract_x
_atom_site_fract_y
_atom_site_fract_z
Mg1 0.120 0.620 0.739
Mg2 0.380 0.120 0.500
Mg3 0.620 0.880 0.500
Mg4 0.880 0.380 0.261
In1 0.250 0.250 0.000
In2 0.750 0.750 0.000
Cu1 0.250 0.750 0.500
Cu2 0.750 0.250 0.500
Au1 0.000 0.000 0.000
Au2 0.055 0.176 0.500
Au3 0.176 0.676 0.122
Au4 0.324 0.445 0.500
Au5 0.445 0.945 0.122
Au6 0.500 0.500 0.000
Au7 0.555 0.055 0.878
Au8 0.676 0.555 0.500
Au9 0.824 0.324 0.878
Au10 0.945 0.824 0.500
# Energy of formation ... -0.144 eV/atom
# Uncorrected energy ... -3.079 eV/atom
# Volume ... 19.79 Å³ per atom
# M_tot ... 0.00 μB/f.u.
# DOS(E_F) ... 7.8 states/eV/cell
# Crystal system ... tetragonal

---

# Er9Pb3C2, optimized geometry, DFT PBE-GGA
data_Er9Pb3C2
_chemical_formula_sum 'Er9 Pb3 C2'
_cell_length_a 6.874
_cell_length_b 6.874
_cell_length_c 8.424
_cell_angle_alpha 90.00
_cell_angle_beta 90.00
_cell_angle_gamma 120.00
_symmetry_space_group_name_H-M 'P 1'
_symmetry_Int_Tables_number 1
loop_
_symmetry_equiv_pos_as_xyz
'x,y,z'
loop_
_atom_site_label
_atom_site_fract_x
_atom_site_fract_y
_atom_site_fract_z
Er1 0.000 0.500 0.000
Er2 0.170 0.339 0.669
Er3 0.170 0.830 0.669
Er4 0.339 0.170 0.331
Er5 0.500 0.000 0.000
Er6 0.500 0.500 0.000
Er7 0.661 0.830 0.669
Er8 0.830 0.170 0.331
Er9 0.830 0.661 0.331
Pb1 0.000 0.000 0.000
Pb2 0.333 0.667 0.334
Pb3 0.667 0.333 0.666
C1 0.333 0.667 0.831
C2 0.667 0.333 0.169
# Energy of formation ... -0.458 eV/atom
# Uncorrected energy ... -5.504 eV/atom
# Volume ... 24.62 Å³ per atom
# M_tot ... 0.00 μB/f.u.
# DOS(E_F) ... 12.5 states/eV/cell
# Crystal system ... trigonal

---

# Pm2DyPaN4, optimized geometry, DFT PBE-GGA
data_Pm2DyPaN4
_chemical_formula_sum 'Pm2 Dy1 Pa1 N4'
_cell_length_a 6.093
_cell_length_b 3.556
_cell_length_c 6.159
_cell_angle_alpha 90.00
_cell_angle_beta 109.12
_cell_angle_gamma 90.00
_symmetry_space_group_name_H-M 'P 1'
_symmetry_Int_Tables_number 1
loop_
_symmetry_equiv_pos_as_xyz
'x,y,z'
loop_
_atom_site_label
_atom_site_fract_x
_atom_site_fract_y
_atom_site_fract_z
Pm1 0.000 0.000 0.000
Pm2 0.500 0.500 0.000
Dy1 0.000 0.500 0.500
Pa1 0.500 0.000 0.500
N1 0.257 0.000 0.727
N2 0.267 0.500 0.276
N3 0.733 0.500 0.724
N4 0.743 0.000 0.273
# Uncorrected energy ... -8.724 eV/atom
# Volume ... 15.76 Å³ per atom
# M_tot ... 0.00 μB/f.u.
# DOS(E_F) ... 3.6 states/eV/cell
# Crystal system ... monoclinic

---

# Li2TiZn8, optimized geometry, DFT PBE-GGA
data_Li2TiZn8
_chemical_formula_sum 'Li2 Ti1 Zn8'
_cell_length_a 8.830
_cell_length_b 8.830
_cell_length_c 2.610
_cell_angle_alpha 94.87
_cell_angle_beta 94.87
_cell_angle_gamma 116.54
_symmetry_space_group_name_H-M 'P 1'
_symmetry_Int_Tables_number 1
loop_
_symmetry_equiv_pos_as_xyz
'x,y,z'
loop_
_atom_site_label
_atom_site_fract_x
_atom_site_fract_y
_atom_site_fract_z
Li1 0.150 0.850 0.000
Li2 0.850 0.150 0.000
Ti1 0.500 0.500 0.500
Zn1 0.127 0.127 0.336
Zn2 0.171 0.403 0.883
Zn3 0.304 0.696 0.500
Zn4 0.403 0.171 0.883
Zn5 0.597 0.829 0.117
Zn6 0.696 0.304 0.500
Zn7 0.829 0.597 0.117
Zn8 0.873 0.873 0.664
# Energy of formation ... 0.018 eV/atom
# Uncorrected energy ... -1.974 eV/atom
# Volume ... 16.33 Å³ per atom
# M_tot ... 0.00 μB/f.u.
# DOS(E_F) ... 5.0 states/eV/cell
# Crystal system ... monoclinic

---

What is the M_tot in the first record?
0.00 μB/f.u.

---

Which value of DOS(E_F) does entry 4 give?
1.1 states/eV/cell

---

Among the records above, which one has the highest M_tot?
Co2SeBr

---

volume of number 4 (SrH2ClO)?
14.56 Å³ per atom